No. 1
Below is an optimized crystal structure of TlOsS2, with properties calculated at the PBE level.

Structure (CIF):
```
data_TlOsS2
_symmetry_space_group_name_H-M 'P 1'
_symmetry_Int_Tables_number 1
_symmetry_space_group_name_Hall 'P 1'
_cell_length_a 4.6002
_cell_length_b 4.6002
_cell_length_c 4.6002
_cell_angle_alpha 60.00
_cell_angle_beta 60.00
_cell_angle_gamma 60.00
loop_
_atom_site_label
_atom_site_fract_x
_atom_site_fract_y
_atom_site_fract_z
_atom_site_occupancy
Os1 0.0000 0.0000 0.0000 1
Tl1 0.5000 0.5000 0.5000 1
S1 0.7500 0.7500 0.7500 1
S2 0.2500 0.2500 0.2500 1
```

Crystal system: cubic
Excess energy over the best structure of this formula in the dataset (kcal/mol of atoms): 21.624
Space-group type: No. 225

No. 2
Below is an optimized crystal structure of TlOsS3, with properties calculated at the PBE level.

Structure (CIF):
```
data_TlOsS3
_symmetry_space_group_name_H-M 'P 1'
_symmetry_Int_Tables_number 1
_symmetry_space_group_name_Hall 'P 1'
_cell_length_a 4.7186
_cell_length_b 4.7186
_cell_length_c 4.7186
_cell_angle_alpha 90.00
_cell_angle_beta 90.00
_cell_angle_gamma 90.00
loop_
_atom_site_label
_atom_site_fract_x
_atom_site_fract_y
_atom_site_fract_z
_atom_site_occupancy
S1 0.5000 0.0000 0.0000 1
S2 0.0000 0.5000 0.0000 1
Tl1 0.5000 0.5000 0.5000 1
S3 0.0000 0.0000 0.5000 1
Os1 0.0000 0.0000 0.0000 1
```

Crystal system: cubic
Excess energy over the best structure of this formula in the dataset (kcal/mol of atoms): 0.000
Space-group type: No. 221

No. 3
Below is an optimized crystal structure of Tl2OsS, with properties calculated at the PBE level.

Structure (CIF):
```
data_Tl2OsS
_symmetry_space_group_name_H-M 'P 1'
_symmetry_Int_Tables_number 1
_symmetry_space_group_name_Hall 'P 1'
_cell_length_a 6.1691
_cell_length_b 6.1691
_cell_length_c 7.7905
_cell_angle_alpha 66.68
_cell_angle_beta 66.68
_cell_angle_gamma 90.00
loop_
_atom_site_label
_atom_site_fract_x
_atom_site_fract_y
_atom_site_fract_z
_atom_site_occupancy
Os1 0.7500 0.2500 0.5000 1
S1 0.2500 0.7500 0.5000 1
Tl1 0.6406 0.1250 0.2500 1
Tl2 0.3750 0.3594 0.7500 1
S2 0.5000 0.5000 0.0000 1
Tl3 0.1094 0.6250 0.2500 1
Tl4 0.8750 0.8906 0.7500 1
Os2 0.0000 0.0000 0.0000 1
```

Crystal system: tetragonal
Excess energy over the best structure of this formula in the dataset (kcal/mol of atoms): 0.000
Space-group type: No. 122

No. 4
Below is an optimized crystal structure of TlOs2S, with properties calculated at the PBE level.

Structure (CIF):
```
data_TlOs2S
_symmetry_space_group_name_H-M 'P 1'
_symmetry_Int_Tables_number 1
_symmetry_space_group_name_Hall 'P 1'
_cell_length_a 6.9659
_cell_length_b 6.9659
_cell_length_c 5.7243
_cell_angle_alpha 52.52
_cell_angle_beta 52.52
_cell_angle_gamma 90.00
loop_
_atom_site_label
_atom_site_fract_x
_atom_site_fract_y
_atom_site_fract_z
_atom_site_occupancy
Os1 0.2111 0.6250 0.2500 1
Os2 0.8750 0.7889 0.7500 1
Os3 0.3750 0.4611 0.7500 1
S1 0.2500 0.7500 0.5000 1
Tl1 0.7500 0.2500 0.5000 1
S2 0.5000 0.5000 0.0000 1
Os4 0.5389 0.1250 0.2500 1
Tl2 0.0000 0.0000 0.0000 1
```

Crystal system: tetragonal
Excess energy over the best structure of this formula in the dataset (kcal/mol of atoms): 0.000
Space-group type: No. 122

No. 5
Below is an optimized crystal structure of TlOs3S, with properties calculated at the PBE level.

Structure (CIF):
```
data_TlOs3S
_symmetry_space_group_name_H-M 'P 1'
_symmetry_Int_Tables_number 1
_symmetry_space_group_name_Hall 'P 1'
_cell_length_a 4.4153
_cell_length_b 4.4153
_cell_length_c 4.4153
_cell_angle_alpha 90.00
_cell_angle_beta 90.00
_cell_angle_gamma 90.00
loop_
_atom_site_label
_atom_site_fract_x
_atom_site_fract_y
_atom_site_fract_z
_atom_site_occupancy
Tl1 0.5000 0.5000 0.5000 1
Os1 0.5000 0.0000 0.0000 1
Os2 0.0000 0.0000 0.5000 1
Os3 0.0000 0.5000 0.0000 1
S1 0.0000 0.0000 0.0000 1
```

Crystal system: cubic
Excess energy over the best structure of this formula in the dataset (kcal/mol of atoms): 0.000
Space-group type: No. 221

No. 6
Below is an optimized crystal structure of TlOsS2, with properties calculated at the PBE level.

Structure (CIF):
```
data_TlOsS2
_symmetry_space_group_name_H-M 'P 1'
_symmetry_Int_Tables_number 1
_symmetry_space_group_name_Hall 'P 1'
_cell_length_a 8.6653
_cell_length_b 8.6653
_cell_length_c 8.6653
_cell_angle_alpha 23.82
_cell_angle_beta 23.82
_cell_angle_gamma 23.82
loop_
_atom_site_label
_atom_site_fract_x
_atom_site_fract_y
_atom_site_fract_z
_atom_site_occupancy
S1 0.8803 0.8803 0.8803 1
Tl1 0.0000 0.0000 0.0000 1
S2 0.1197 0.1197 0.1197 1
Os1 0.5000 0.5000 0.5000 1
```

Crystal system: trigonal
Excess energy over the best structure of this formula in the dataset (kcal/mol of atoms): 0.190
Space-group type: No. 166

No. 7
Below is an optimized crystal structure of TlOs3S, with properties calculated at the PBE level.

Structure (CIF):
```
data_TlOs3S
_symmetry_space_group_name_H-M 'P 1'
_symmetry_Int_Tables_number 1
_symmetry_space_group_name_Hall 'P 1'
_cell_length_a 5.0308
_cell_length_b 5.0308
_cell_length_c 5.0308
_cell_angle_alpha 90.00
_cell_angle_beta 90.00
_cell_angle_gamma 90.00
loop_
_atom_site_label
_atom_site_fract_x
_atom_site_fract_y
_atom_site_fract_z
_atom_site_occupancy
S1 0.5000 0.5000 0.5000 1
Tl1 0.0000 0.0000 0.0000 1
Os1 0.0000 0.5000 0.0000 1
Os2 0.0000 0.0000 0.5000 1
Os3 0.5000 0.0000 0.0000 1
```

Crystal system: cubic
Excess energy over the best structure of this formula in the dataset (kcal/mol of atoms): 52.062
Space-group type: No. 221

No. 8
Below is an optimized crystal structure of YTlOs2S, with properties calculated at the PBE level.

Structure (CIF):
```
data_YTlOs2S
_symmetry_space_group_name_H-M 'P 1'
_symmetry_Int_Tables_number 1
_symmetry_space_group_name_Hall 'P 1'
_cell_length_a 5.0435
_cell_length_b 5.9707
_cell_length_c 5.0435
_cell_angle_alpha 90.00
_cell_angle_beta 90.00
_cell_angle_gamma 90.00
loop_
_atom_site_label
_atom_site_fract_x
_atom_site_fract_y
_atom_site_fract_z
_atom_site_occupancy
S1 0.5000 0.5000 0.5000 1
Tl1 0.0000 0.5000 0.0000 1
Os1 0.0000 0.0000 0.5000 1
Y1 0.0000 0.0000 0.0000 1
Os2 0.5000 0.0000 0.0000 1
```

Crystal system: tetragonal
Space-group type: No. 123

no.,raw total energy (eV for the cell shown)
1,-18.40
2,-24.71
3,-31.62
4,-51.25
5,-33.97
6,-22.12
7,-22.68
8,-24.00